6
Lattice="2.082 -4.680 0.000 2.082 4.680 0.000 0.000 0.000 5.322" Properties=species:S:1:pos:R:3 comment="ZrAlPd | the Alexandria database | SCAN | PBEsol geometry" formation_energy_mev_per_atom=-854 sg="Cmcm (63)" pbc="T T T"
Zr 2.082 2.774 3.991
Zr 2.082 -2.774 1.330
Al 2.082 0.000 0.000
Al 2.082 0.000 2.661
Pd 2.082 3.783 1.330
Pd 2.082 -3.783 3.991